VASP calculation (PBE-GGA) on La2HgGeC after structural relaxation.

For the total energy, the calculation gives -4.965 eV per atom. The calculation puts the total moment at 0.000 μB/cell.

Cell lengths 5.251, 4.405, 5.251 Å; angles 90.00, 90.00, 90.00 degrees
Element x y z (fractional)
La (0.500, 0.000, 0.000)
La (0.000, 0.000, 0.500)
Ge (0.500, 0.500, 0.500)
C (0.000, 0.000, 0.000)
Hg (0.000, 0.500, 0.000)

VASP calculation (PBE-GGA) on Ca2LaZn after structural relaxation.

For the total energy, the calculation gives -2.548 eV per atom. The calculation puts the total moment at 0.000 μB/cell.

Cell lengths 11.013, 11.013, 11.013 Å; angles 19.98, 19.98, 19.98 degrees
Element x y z (fractional)
Ca (0.016, 0.016, 0.016)
Ca (0.484, 0.484, 0.484)
Zn (0.750, 0.750, 0.750)
La (0.250, 0.250, 0.250)

VASP calculation (PBE-GGA) on PmScCo2H6 after structural relaxation.

For the total energy, the calculation gives -4.949 eV per atom. The calculation puts the total moment at 0.000 μB/cell.

Cell lengths 4.403, 4.403, 5.942 Å; angles 68.26, 68.26, 60.00 degrees
Element x y z (fractional)
Pm (0.000, 0.000, 0.000)
Sc (0.500, 0.500, 0.500)
H (0.434, 0.937, 0.196)
H (0.937, 0.434, 0.196)
H (0.434, 0.434, 0.196)
H (0.063, 0.566, 0.804)
H (0.566, 0.566, 0.804)
H (0.566, 0.063, 0.804)
Co (0.211, 0.211, 0.366)
Co (0.789, 0.789, 0.634)

VASP calculation (PBE-GGA) on TlAuS after structural relaxation.

The value obtained for the raw formation energy is -25.8 kJ/mol of atoms. The calculation puts the total moment at 0.000 μB/cell.

Cell lengths 6.875, 7.034, 7.046 Å; angles 98.22, 90.00, 90.00 degrees
Element x y z (fractional)
Tl (0.250, 0.345, 0.653)
Tl (0.250, 0.845, 0.153)
Tl (0.750, 0.655, 0.347)
Tl (0.750, 0.155, 0.847)
S (0.750, 0.102, 0.399)
S (0.250, 0.898, 0.601)
S (0.750, 0.602, 0.899)
S (0.250, 0.398, 0.101)
Au (0.000, 0.250, 0.250)
Au (0.500, 0.250, 0.250)
Au (0.000, 0.750, 0.750)
Au (0.500, 0.750, 0.750)

VASP calculation (PBE-GGA) on YAg2SO6 after structural relaxation.

The value obtained for the raw formation energy is -94.1 kJ/mol of atoms. The calculation puts the total moment at 0.000 μB/cell.

Cell lengths 5.674, 5.827, 5.827 Å; angles 120.00, 90.00, 90.00 degrees
Element x y z (fractional)
Ag (0.986, 0.667, 0.333)
Ag (0.014, 0.333, 0.667)
O (0.822, 0.135, 0.865)
O (0.822, 0.729, 0.865)
O (0.178, 0.865, 0.729)
O (0.178, 0.865, 0.135)
O (0.822, 0.135, 0.271)
O (0.178, 0.271, 0.135)
S (0.000, 0.000, 0.000)
Y (0.500, 0.000, 0.000)

VASP calculation (PBE-GGA) on Li4CrBr after structural relaxation.

The value obtained for the raw formation energy is 20.9 kJ/mol of atoms. The calculation puts the total moment at 4.025 μB/cell.

Cell lengths 5.594, 5.594, 5.594 Å; angles 60.00, 60.00, 60.00 degrees
Last column: magnetic moment on the atom in μB.
Element x y z (fractional)
Li (0.879, 0.374, 0.374)  -0.06
Li (0.374, 0.879, 0.374)  -0.06
Li (0.374, 0.374, 0.879)  -0.06
Li (0.374, 0.374, 0.374)  -0.06
Br (0.750, 0.750, 0.750)  -0.01
Cr (0.000, 0.000, 0.000)  4.10

VASP calculation (PBE-GGA) on HfBe4Fe after structural relaxation.

For the total energy, the calculation gives -5.854 eV per atom. The calculation puts the total moment at 0.000 μB/cell.

Cell lengths 4.436, 4.436, 4.436 Å; angles 60.00, 60.00, 60.00 degrees
Element x y z (fractional)
Hf (0.250, 0.250, 0.250)
Be (0.119, 0.627, 0.627)
Be (0.627, 0.119, 0.627)
Be (0.627, 0.627, 0.627)
Be (0.627, 0.627, 0.119)
Fe (0.000, 0.000, 0.000)

VASP calculation (PBE-GGA) on ZrW3Cl after structural relaxation.

The value obtained for the raw formation energy is 116.0 kJ/mol of atoms. The calculation puts the total moment at 0.000 μB/cell. The energy above the most stable polymorph in this dataset comes out at 0 meV/atom.

Cell lengths 4.468, 4.468, 4.468 Å; angles 90.00, 90.00, 90.00 degrees
Element x y z (fractional)
W (0.000, 0.000, 0.500)
W (0.500, 0.000, 0.000)
W (0.000, 0.500, 0.000)
Zr (0.500, 0.500, 0.500)
Cl (0.000, 0.000, 0.000)